This record from the Alexandria database describes Pm2TmAl4Pt3 after structural relaxation. The functional is PBE.

raw total energy	-5.64	eV per atom
M_tot	0.00	μB/f.u.
V	207	Å³/cell

```
data_Pm2TmAl4Pt3
_symmetry_space_group_name_H-M 'P -4 m 2'
_symmetry_Int_Tables_number 115
_symmetry_space_group_name_Hall 'P -4 -2'
_cell_length_a 4.239
_cell_length_b 4.239
_cell_length_c 11.524
_cell_angle_alpha 90.00
_cell_angle_beta 90.00
_cell_angle_gamma 90.00
loop_
_atom_site_label
_atom_site_type_symbol
_atom_site_fract_x
_atom_site_fract_y
_atom_site_fract_z
Pm1 Pm 0.000 0.500 0.229
Tm1 Tm 0.000 0.000 0.500
Al1 Al 0.000 0.000 0.000
Al2 Al 0.000 0.500 0.666
Al3 Al 0.500 0.500 0.000
Pt1 Pt 0.000 0.500 0.878
Pt2 Pt 0.500 0.500 0.500
```

---

This record from the Alexandria database describes Hf2TcMo2 after structural relaxation. The functional is PBE.

raw total energy	-10.27	eV per atom
M_tot	0.00	μB/f.u.
V	189	Å³/cell

```
data_Hf2TcMo2
_symmetry_space_group_name_H-M 'P 4/m b m'
_symmetry_Int_Tables_number 127
_symmetry_space_group_name_Hall '-P 4 2ab'
_cell_length_a 6.501
_cell_length_b 6.501
_cell_length_c 4.474
_cell_angle_alpha 90.00
_cell_angle_beta 90.00
_cell_angle_gamma 90.00
loop_
_atom_site_label
_atom_site_type_symbol
_atom_site_fract_x
_atom_site_fract_y
_atom_site_fract_z
Hf1 Hf 0.174 0.326 0.000
Tc1 Tc 0.000 0.000 0.500
Mo1 Mo 0.140 0.640 0.500
```